1.
Below is a relaxed structure of NaCr2As2, with properties calculated at the PBE level.

Structure (POSCAR):
```
NaCr2As2
1.0
-1.7616 1.7616 7.3774
1.7616 -1.7616 7.3774
1.7616 1.7616 -7.3774
Na Cr As
1 2 2
Cartesian
0.0000 0.0000 0.0000
1.7616 0.0000 3.6887
0.0000 1.7616 3.6887
0.0000 0.0000 5.4086
0.0000 0.0000 9.3462
```

Properties
As for the formation energy from the elements: -0.18 eV per atom. As for the symmetry: I4/mmm, No. 139. As for the total moment: 0.0000 μB/atom. As for the energy above the lowest structure with this stoichiometry: 0.00 kcal/mol of atoms.

---

2.
Below is a relaxed structure of NaCr2As2, with properties calculated at the PBE level.

Structure (POSCAR):
```
NaCr2As2
1.0
-2.2901 2.2901 4.0924
2.2901 -2.2901 4.0924
2.2901 2.2901 -4.0924
Na Cr As
1 2 2
Cartesian
0.0000 0.0000 0.0000
0.0000 0.0000 3.1570
0.0000 0.0000 5.0279
2.2901 0.0000 2.0462
0.0000 2.2901 2.0462
```

Properties
As for the formation energy from the elements: 0.04 eV per atom. As for the symmetry: I4/mmm, No. 139. As for the total moment: 0.0000 μB/atom. As for the energy above the lowest structure with this stoichiometry: 5.02 kcal/mol of atoms.

---

3.
Below is a relaxed structure of Na3CrAs, with properties calculated at the PBE level.

Structure (POSCAR):
```
Na3CrAs
1.0
5.4710 0.0000 0.0000
0.0000 5.4710 0.0000
0.0000 0.0000 5.4710
Na Cr As
3 1 1
Cartesian
0.0000 0.0000 2.7355
0.0000 2.7355 0.0000
2.7355 0.0000 0.0000
0.0000 0.0000 0.0000
2.7355 2.7355 2.7355
```

Properties
As for the formation energy from the elements: 0.87 eV per atom. As for the symmetry: Pm-3m, No. 221. As for the total moment: 1.0325 μB/atom. As for the energy above the lowest structure with this stoichiometry: 10.62 kcal/mol of atoms.

---

4.
Below is a relaxed structure of NaCrAs3, with properties calculated at the PBE level.

Structure (POSCAR):
```
NaCrAs3
1.0
4.8752 0.0000 0.0000
0.0000 4.8752 0.0000
0.0000 0.0000 4.8752
Na Cr As
1 1 3
Cartesian
0.0000 0.0000 0.0000
2.4376 2.4376 2.4376
0.0000 0.0000 2.4376
0.0000 2.4376 0.0000
2.4376 0.0000 0.0000
```

Properties
As for the formation energy from the elements: 1.64 eV per atom. As for the symmetry: Pm-3m, No. 221. As for the total moment: 0.1053 μB/atom. As for the energy above the lowest structure with this stoichiometry: 35.26 kcal/mol of atoms.

---

Copy entry 2 word for word.
Below is a relaxed structure of NaCr2As2, with properties calculated at the PBE level.

Structure (POSCAR):
```
NaCr2As2
1.0
-2.2901 2.2901 4.0924
2.2901 -2.2901 4.0924
2.2901 2.2901 -4.0924
Na Cr As
1 2 2
Cartesian
0.0000 0.0000 0.0000
0.0000 0.0000 3.1570
0.0000 0.0000 5.0279
2.2901 0.0000 2.0462
0.0000 2.2901 2.0462
```

Properties
As for the formation energy from the elements: 0.04 eV per atom. As for the symmetry: I4/mmm, No. 139. As for the total moment: 0.0000 μB/atom. As for the energy above the lowest structure with this stoichiometry: 5.02 kcal/mol of atoms.